# PBE Sc2GeAu2, relaxed
data_Sc2GeAu2
_chemical_formula_sum 'Sc4 Ge2 Au4'
_cell_length_a 7.633
_cell_length_b 7.633
_cell_length_c 3.559
_cell_angle_alpha 90.00
_cell_angle_beta 90.00
_cell_angle_gamma 90.00
_space_group_name_H-M_alt 'P 4/m b m'
_space_group_IT_number 127
_space_group_name_Hall '-P 4 2ab'
loop_
_atom_site_label
_atom_site_fract_x
_atom_site_fract_y
_atom_site_fract_z
Sc1 0.164 0.336 0.000
Ge1 0.000 0.000 0.000
Au1 0.133 0.633 0.500
# Relative energy among the computed polymorphs (eV/f.u.): 0.591
# Formation energy from the elements (eV/atom): -0.523
# VASP energy (eV/atom): -5.290
# Crystal system: tetragonal

=====

# PBE NdZn9Ni3, relaxed
data_NdZn9Ni3
_chemical_formula_sum 'Nd2 Zn18 Ni6'
_cell_length_a 5.016
_cell_length_b 12.587
_cell_length_c 6.641
_cell_angle_alpha 90.00
_cell_angle_beta 111.98
_cell_angle_gamma 90.00
_space_group_name_H-M_alt 'C 1 2/m 1'
_space_group_IT_number 12
loop_
_space_group_symop_operation_xyz
'x,y,z'
'-x,-y,-z'
'-x,y,-z'
'x,-y,z'
'x+1/2,y+1/2,z'
'-x+1/2,-y+1/2,-z'
'-x+1/2,y+1/2,-z'
'x+1/2,-y+1/2,z'
loop_
_atom_site_label
_atom_site_fract_x
_atom_site_fract_y
_atom_site_fract_z
Nd1 0.000 0.000 0.000
Zn1 0.000 0.500 0.500
Zn2 0.113 0.385 0.220
Zn3 0.158 0.177 0.340
Ni1 0.000 0.000 0.500
Ni2 0.250 0.250 0.000
# Formation energy from the elements (eV/atom): -0.265
# VASP energy (eV/atom): -2.848
# Crystal system: monoclinic